Record 1
Li2Y2S: optimized geometry, GGA-PBEsol.

* magnetization: 0.000 μB per formula unit

Lattice parameters (Å, degrees): 6.5160 6.5160 4.7319 90.00 90.00 90.00
Space group P4/mbm (No. 127)
One atom of each set of equivalent atoms:
1 Li 0.1476 0.3524 0.0000 (multiplicity 4)
2 Y 0.1663 0.6663 0.5000 (multiplicity 4)
3 S 0.0000 0.0000 0.0000 (multiplicity 2)

Record 2
Li7Y7ZrS16: optimized geometry, GGA-PBEsol.

* magnetization: 0.000 μB per formula unit

Lattice parameters (Å, degrees): 6.4468 15.3483 6.6638 90.00 109.96 90.00
Space group P2/m (No. 10)
One atom of each set of equivalent atoms:
1 Li 0.0000 0.0000 0.0000 (multiplicity 1)
2 Li 0.0000 0.1257 0.5000 (multiplicity 2)
3 Li 0.0000 0.2505 0.0000 (multiplicity 2)
4 Li 0.0000 0.3775 0.5000 (multiplicity 2)
5 Y 0.5000 0.0000 0.5000 (multiplicity 1)
6 Y 0.5000 0.1259 0.0000 (multiplicity 2)
7 Y 0.5000 0.2524 0.5000 (multiplicity 2)
8 Y 0.5000 0.3776 0.0000 (multiplicity 2)
9 Zr 0.5000 0.5000 0.5000 (multiplicity 1)
10 S 0.2452 0.2518 0.7513 (multiplicity 4)
11 S 0.2463 0.1260 0.2496 (multiplicity 4)
12 S 0.2468 0.0000 0.7497 (multiplicity 2)
13 S 0.2565 0.3809 0.2600 (multiplicity 4)
14 S 0.2564 0.5000 0.7323 (multiplicity 2)

Record 3
LiZnS2: optimized geometry, GGA-PBEsol.

* magnetization: 0.000 μB per formula unit

Lattice parameters (Å, degrees): 3.4815 3.4815 21.9042 90.00 90.00 120.00
Space group R-3m (No. 166, hexagonal axes)
One atom of each set of equivalent atoms:
1 Li 0.0000 0.0000 0.0000 (multiplicity 3)
2 Zn 0.0000 0.0000 0.5000 (multiplicity 3)
3 S 0.0000 0.0000 0.1029 (multiplicity 6)

Record 4
LiZr2S4: optimized geometry, GGA-PBEsol.

* magnetization: 0.000 μB per formula unit

Lattice parameters (Å, degrees): 6.1910 3.5841 6.4680 90.00 108.33 90.00
Space group P2/m (No. 10)
One atom of each set of equivalent atoms:
1 Li 0.0000 0.0000 0.0000 (multiplicity 1)
2 Zr 0.0000 0.5000 0.5000 (multiplicity 1)
3 Zr 0.5000 0.0000 0.5000 (multiplicity 1)
4 S 0.2487 0.0000 0.7457 (multiplicity 2)
5 S 0.2525 0.5000 0.2502 (multiplicity 2)

Record 5
LiSb: optimized geometry, GGA-PBEsol.

* magnetization: 0.000 μB per formula unit

Lattice parameters (Å, degrees): 3.1601 3.1601 4.1899 90.00 90.00 90.00
Space group P4/mmm (No. 123)
One atom of each set of equivalent atoms:
1 Li 0.0000 0.0000 0.0000 (multiplicity 1)
2 Sb 0.5000 0.5000 0.5000 (multiplicity 1)

Record 6
Li4Sb: optimized geometry, GGA-PBEsol.

* magnetization: 0.001 μB per formula unit

Lattice parameters (Å, degrees): 6.3254 6.3254 4.3838 90.00 90.00 90.00
Space group I4/m (No. 87)
One atom of each set of equivalent atoms:
1 Li 0.1108 0.2893 0.0000 (multiplicity 8)
2 Sb 0.0000 0.0000 0.5000 (multiplicity 2)

Record 7
LiSb: optimized geometry, GGA-PBEsol.

* magnetization: 0.000 μB per formula unit

Lattice parameters (Å, degrees): 10.5553 3.1774 8.6310 90.00 116.10 90.00
Space group Cm (No. 8)
One atom of each set of equivalent atoms:
1 Li 0.0000 0.0000 0.0000 (multiplicity 2)
2 Li 0.1035 0.5000 0.6923 (multiplicity 2)
3 Li 0.2739 0.5000 0.3278 (multiplicity 2)
4 Sb 0.0572 0.0000 0.3646 (multiplicity 2)
5 Sb 0.2740 0.0000 0.0168 (multiplicity 2)
6 Sb 0.3318 0.0000 0.6750 (multiplicity 2)

Record 8
LiSb: optimized geometry, GGA-PBEsol.

* magnetization: 0.000 μB per formula unit

Lattice parameters (Å, degrees): 6.0350 6.0350 6.0350 90.00 90.00 90.00
Space group F-43m (No. 216)
One atom of each set of equivalent atoms:
1 Li 0.0000 0.0000 0.0000 (multiplicity 4)
2 Sb 0.2500 0.2500 0.2500 (multiplicity 4)

no.,N(E_F) (states/eV per atom),E (eV per atom),raw formation energy (eV per atom)
1,0.50,-4.748,-0.3558
2,0.00,-6.404,-1.8636
3,0.57,-3.526,-0.4466
4,0.32,-6.998,-1.6143
5,0.37,-3.695,-0.4330
6,0.28,-2.938,-0.4527
7,0.32,-3.619,-0.3566
8,0.99,-2.849,0.4131